VASP calculation (GGA+U) on an optimized crystal structure of Li3MoO.

Lattice parameters (Å, degrees): 5.109 5.109 5.109 90.00 90.00 90.00
Atoms (fractional coordinates):
Li (0.000, 0.000, 0.500)
Li (0.000, 0.500, 0.000)
Li (0.500, 0.000, 0.000)
Mo (0.000, 0.000, 0.000)
O (0.500, 0.500, 0.500)

Calculated values
SG = Pm-3m (221)
Energy above the lowest structure with this stoichiometry = 7.31 eV/f.u.
Raw total energy = -0.1810 Ry per atom